Entry 1:
Density functional theory data (PBE) for a relaxed LiTeRuS2 crystal.

```
LiTeRuS2
1.0
5.250 0.000 0.000
0.000 4.883 0.000
0.000 0.000 5.250
Te Ru Li S
1 1 1 2
Direct
0.000 0.000 0.000 Te
0.000 0.500 0.000 Ru
0.500 0.500 0.500 Li
0.500 0.000 0.000 S
0.000 0.000 0.500 S
```

- total magnetization (μB per formula unit) = 1.08
- SG = No. 123
- final energy (eV per atom) = -3.834
- energy relative to the elements, uncorrected (eV/atom) = 0.684
- V (Å³/atom) = 26.9

***

Entry 2:
Density functional theory data (PBE) for a relaxed Th2Np2N7 crystal.

```
Th2Np2N7
1.0
-2.729 0.399 -4.643
-2.423 -4.757 1.015
-3.688 2.525 3.031
Th Np N
2 2 7
Direct
0.748 0.500 0.748 Th
0.252 0.500 0.252 Th
0.729 0.000 0.271 Np
0.271 0.000 0.729 Np
0.000 0.238 0.500 N
0.000 0.762 0.500 N
0.500 0.762 0.000 N
0.500 0.238 0.000 N
0.500 0.763 0.500 N
0.000 0.000 0.000 N
0.500 0.237 0.500 N
```

- E above lowest polymorph (eV per atom) = 0.213
- total magnetization (μB per formula unit) = 1.02
- SG = No. 65
- final energy (eV per atom) = -10.125
- energy relative to the elements, uncorrected (eV/atom) = -1.125
- V (Å³/atom) = 14.3

***

Entry 3:
Density functional theory data (PBE) for a relaxed LaTb3Pu2Se6 crystal.

```
LaTb3Pu2Se6
1.0
7.165 -0.003 -0.001
-3.583 6.205 -0.001
-1.195 -2.070 6.824
Pu Se Tb La
2 6 3 1
Direct
0.667 0.333 0.000 Pu
0.333 0.667 0.000 Pu
0.255 0.255 0.744 Se
0.913 0.573 0.741 Se
0.745 0.745 0.256 Se
0.427 0.087 0.259 Se
0.573 0.913 0.741 Se
0.087 0.427 0.259 Se
0.500 0.500 0.500 Tb
0.164 0.836 0.500 Tb
0.836 0.164 0.500 Tb
0.000 0.000 0.000 La
```

- total magnetization (μB per formula unit) = 11.79
- SG = No. 12
- final energy (eV per atom) = -7.447
- energy relative to the elements, uncorrected (eV/atom) = -1.748
- V (Å³/atom) = 25.3

***

no.,DOS(E_F) (states/eV/f.u.)
1,2.03
2,4.98
3,20.02